Entry 1:
3
Lattice="-1.780 1.780 8.299 1.780 -1.780 8.299 1.780 1.780 -8.299" Properties=species:S:1:pos:R:3 comment="NaPm2 (GGA-PBE, relaxed)" formation_energy_ev_per_atom=0.1252 relative_energy_mev_per_atom=0.0 magnetic_moment_mub_per_fu=0.00 crystal_system=tetragonal pbc="T T T"
Na 0.000 0.000 0.000
Pm 0.000 0.000 5.409
Pm 0.000 0.000 11.188

Entry 2:
6
Lattice="0.000 4.643 4.643 4.643 0.000 4.643 4.643 4.643 0.000" Properties=species:S:1:pos:R:3 comment="Na2Pm (GGA-PBE, relaxed)" formation_energy_ev_per_atom=0.2905 relative_energy_mev_per_atom=162.4 magnetic_moment_mub_per_fu=0.00 crystal_system=cubic pbc="T T T"
Na 0.000 0.000 0.000
Na 2.321 2.321 0.000
Na 2.321 0.000 2.321
Na 0.000 2.321 2.321
Pm 3.482 3.482 3.482
Pm 5.804 5.804 5.804

Entry 3:
6
Lattice="0.000 4.862 4.862 4.862 0.000 4.862 4.862 4.862 0.000" Properties=species:S:1:pos:R:3 comment="NaPm2 (GGA-PBE, relaxed)" formation_energy_ev_per_atom=0.4366 relative_energy_mev_per_atom=311.3 magnetic_moment_mub_per_fu=0.00 crystal_system=cubic pbc="T T T"
Na 1.216 1.216 1.216
Na 8.509 8.509 8.509
Pm 4.862 2.431 2.431
Pm 2.431 4.862 2.431
Pm 2.431 2.431 4.862
Pm 4.862 4.862 4.862

Entry 4:
5
Lattice="5.688 0.000 0.000 0.000 5.688 0.000 0.000 0.000 5.688" Properties=species:S:1:pos:R:3 comment="NaPm4 (GGA-PBE, relaxed)" formation_energy_ev_per_atom=0.7014 magnetic_moment_mub_per_fu=0.00 crystal_system=cubic pbc="T T T"
Na 0.000 0.000 0.000
Pm 0.000 0.000 2.844
Pm 0.000 2.844 0.000
Pm 2.844 0.000 0.000
Pm 2.844 2.844 2.844

Entry 5:
4
Lattice="3.607 0.000 0.000 0.000 3.607 0.000 0.000 0.000 11.038" Properties=species:S:1:pos:R:3 comment="NaPmPr2 (GGA-PBE, relaxed)" formation_energy_ev_per_atom=0.0881 relative_energy_mev_per_atom=0.0 magnetic_moment_mub_per_fu=0.00 crystal_system=tetragonal pbc="T T T"
Na 0.000 0.000 0.000
Pm 0.000 0.000 5.519
Pr 1.804 1.804 2.930
Pr 1.804 1.804 8.108

Entry 6:
4
Lattice="5.069 0.000 0.000 0.000 5.069 0.000 0.000 0.000 5.363" Properties=species:S:1:pos:R:3 comment="NaPm2Pr (GGA-PBE, relaxed)" formation_energy_ev_per_atom=0.2525 relative_energy_mev_per_atom=140.8 magnetic_moment_mub_per_fu=0.00 crystal_system=tetragonal pbc="T T T"
Na 0.000 0.000 0.000
Pm 0.000 2.535 2.682
Pm 2.535 0.000 2.682
Pr 2.535 2.535 0.000

Entry 7:
4
Lattice="1.825 1.054 12.346 -1.825 1.054 12.346 0.000 -2.107 12.346" Properties=species:S:1:pos:R:3 comment="NaPm2Pr (GGA-PBE, relaxed)" formation_energy_ev_per_atom=0.1162 relative_energy_mev_per_atom=4.5 magnetic_moment_mub_per_fu=0.00 crystal_system=trigonal pbc="T T T"
Na 0.000 0.000 0.000
Pm 0.000 0.000 15.531
Pm 0.000 0.000 21.507
Pr 0.000 0.000 6.174

Entry 8:
4
Lattice="1.840 1.063 12.348 -1.840 1.063 12.348 0.000 -2.125 12.348" Properties=species:S:1:pos:R:3 comment="NaPmPr2 (GGA-PBE, relaxed)" formation_energy_ev_per_atom=0.0911 relative_energy_mev_per_atom=3.0 magnetic_moment_mub_per_fu=0.00 crystal_system=trigonal pbc="T T T"
Na 0.000 0.000 0.000
Pm 0.000 0.000 6.179
Pr 0.000 0.000 15.566
Pr 0.000 0.000 21.486

Repeat the fifth record exactly.
4
Lattice="3.607 0.000 0.000 0.000 3.607 0.000 0.000 0.000 11.038" Properties=species:S:1:pos:R:3 comment="NaPmPr2 (GGA-PBE, relaxed)" formation_energy_ev_per_atom=0.0881 relative_energy_mev_per_atom=0.0 magnetic_moment_mub_per_fu=0.00 crystal_system=tetragonal pbc="T T T"
Na 0.000 0.000 0.000
Pm 0.000 0.000 5.519
Pr 1.804 1.804 2.930
Pr 1.804 1.804 8.108

Please write out number 6 again, unchanged.
4
Lattice="5.069 0.000 0.000 0.000 5.069 0.000 0.000 0.000 5.363" Properties=species:S:1:pos:R:3 comment="NaPm2Pr (GGA-PBE, relaxed)" formation_energy_ev_per_atom=0.2525 relative_energy_mev_per_atom=140.8 magnetic_moment_mub_per_fu=0.00 crystal_system=tetragonal pbc="T T T"
Na 0.000 0.000 0.000
Pm 0.000 2.535 2.682
Pm 2.535 0.000 2.682
Pr 2.535 2.535 0.000